## NaTiTlO3 (PBE)

Data for crystalline NaTiTlO3 at its relaxed geometry.

Calculated total energy: -78.7 eV/cell
Raw formation energy: -2.1502 eV/atom

Unit cell a=6.361 b=6.361 c=5.539 alpha=91.50 beta=91.50 gamma=124.46
Positions (direct):
Na  0.076  0.924  0.750
Na  0.924  0.076  0.250
Ti  0.448  0.552  0.750
Ti  0.552  0.448  0.250
Tl  0.243  0.757  0.250
Tl  0.757  0.243  0.750
O  0.277  0.298  0.003
O  0.288  0.712  0.750
O  0.298  0.277  0.503
O  0.702  0.723  0.497
O  0.712  0.288  0.250
O  0.723  0.702  0.997

## Na3Tm3TiO8 (PBE)

Data for crystalline Na3Tm3TiO8 at its relaxed geometry.

Calculated total energy: -108.6 eV/cell
Raw formation energy: -2.9094 eV/atom

Unit cell a=6.723 b=6.723 c=6.723 alpha=58.47 beta=58.47 gamma=58.47
Positions (direct):
Na  0.000  0.500  0.500
Na  0.500  0.000  0.500
Na  0.500  0.500  0.000
Tm  0.000  0.000  0.500
Tm  0.000  0.500  0.000
Tm  0.500  0.000  0.000
Ti  0.500  0.500  0.500
O  0.236  0.236  0.236
O  0.262  0.715  0.715
O  0.285  0.285  0.738
O  0.285  0.738  0.285
O  0.715  0.262  0.715
O  0.715  0.715  0.262
O  0.738  0.285  0.285
O  0.764  0.764  0.764

## Na2TmTiO4 (PBE)

Data for crystalline Na2TmTiO4 at its relaxed geometry.

Calculated total energy: -55.6 eV/cell
Raw formation energy: -2.5956 eV/atom

Unit cell a=5.560 b=3.208 c=5.829 alpha=90.00 beta=108.61 gamma=90.00
Positions (direct):
Na  0.000  0.000  0.000
Na  0.500  0.500  0.000
Tm  0.000  0.500  0.500
Ti  0.500  0.000  0.500
O  0.254  0.000  0.709
O  0.277  0.500  0.295
O  0.723  0.500  0.705
O  0.746  0.000  0.291

## NaUTiO6 (PBE)

Data for crystalline NaUTiO6 at its relaxed geometry.

Calculated total energy: -146.7 eV/cell
Raw formation energy: -2.5691 eV/atom

Unit cell a=4.961 b=4.961 c=9.815 alpha=90.00 beta=90.00 gamma=90.00
Positions (direct):
Na  0.000  0.000  0.000
Na  0.500  0.500  0.500
U  0.000  0.000  0.336
U  0.500  0.500  0.836
Ti  0.000  0.000  0.660
Ti  0.500  0.500  0.160
O  0.175  0.175  0.515
O  0.217  0.217  0.817
O  0.227  0.227  0.195
O  0.273  0.727  0.695
O  0.283  0.717  0.317
O  0.325  0.675  0.015
O  0.675  0.325  0.015
O  0.717  0.283  0.317
O  0.727  0.273  0.695
O  0.773  0.773  0.195
O  0.783  0.783  0.817
O  0.825  0.825  0.515

The lowest calculated total energy belongs to which entry?
NaUTiO6

What is the formula in the fourth record?
NaUTiO6

Among the records above, which one has the highest calculated total energy?
Na2TmTiO4